# 1
# YMg3Cd4, relaxed, DFT PBE
data_YMg3Cd4
_cell_length_a 4.8702
_cell_length_b 7.6303
_cell_length_c 9.7408
_cell_angle_alpha 90.00
_cell_angle_beta 90.00
_cell_angle_gamma 90.00
_symmetry_space_group_name_H-M 'P 1'
_symmetry_Int_Tables_number 1
loop_
_symmetry_equiv_pos_as_xyz
'x,y,z'
loop_
_atom_site_label
_atom_site_type_symbol
_atom_site_fract_x
_atom_site_fract_y
_atom_site_fract_z
Y1 Y 0.0000 0.5000 0.0000
Y2 Y 0.0000 0.5000 0.5000
Mg1 Mg 0.0000 0.0000 0.0000
Mg2 Mg 0.0000 0.0000 0.5000
Mg3 Mg 0.4998 0.0000 0.7500
Mg4 Mg 0.5002 0.0000 0.2500
Mg5 Mg 0.4999 0.5000 0.7500
Mg6 Mg 0.5001 0.5000 0.2500
Cd1 Cd 0.5000 0.7614 0.0000
Cd2 Cd 0.5000 0.7614 0.5000
Cd3 Cd 0.5000 0.2386 0.0000
Cd4 Cd 0.5000 0.2386 0.5000
Cd5 Cd 0.9998 0.7614 0.7500
Cd6 Cd 0.0002 0.7614 0.2500
Cd7 Cd 0.0002 0.2386 0.2500
Cd8 Cd 0.9998 0.2386 0.7500
# Space-group type: P4/mmm
# Energy relative to the elements in eV per formula unit: -1.6


# 2
# YMg8Cd2, relaxed, DFT PBE
data_YMg8Cd2
_cell_length_a 5.2965
_cell_length_b 8.0019
_cell_length_c 8.0019
_cell_angle_alpha 118.66
_cell_angle_beta 78.18
_cell_angle_gamma 78.18
_symmetry_space_group_name_H-M 'P 1'
_symmetry_Int_Tables_number 1
loop_
_symmetry_equiv_pos_as_xyz
'x,y,z'
loop_
_atom_site_label
_atom_site_type_symbol
_atom_site_fract_x
_atom_site_fract_y
_atom_site_fract_z
Y1 Y 0.5000 0.0000 0.0000
Mg1 Mg 0.8732 0.0880 0.3180
Mg2 Mg 0.8732 0.3180 0.0880
Mg3 Mg 0.3025 0.4159 0.4159
Mg4 Mg 0.5000 0.2308 0.7692
Mg5 Mg 0.5000 0.7692 0.2308
Mg6 Mg 0.6975 0.5841 0.5841
Mg7 Mg 0.1268 0.6820 0.9120
Mg8 Mg 0.1268 0.9120 0.6820
Cd1 Cd 0.0000 0.6890 0.3110
Cd2 Cd 0.0000 0.3110 0.6890
# Space-group type: C2/m
# Energy relative to the elements in eV per formula unit: 0.5


# 3
# Y6MgCd5, relaxed, DFT PBE
data_Y6MgCd5
_cell_length_a 5.3074
_cell_length_b 7.5009
_cell_length_c 8.4228
_cell_angle_alpha 90.00
_cell_angle_beta 71.64
_cell_angle_gamma 90.00
_symmetry_space_group_name_H-M 'P 1'
_symmetry_Int_Tables_number 1
loop_
_symmetry_equiv_pos_as_xyz
'x,y,z'
loop_
_atom_site_label
_atom_site_type_symbol
_atom_site_fract_x
_atom_site_fract_y
_atom_site_fract_z
Y1 Y 0.8317 0.7507 0.3366
Y2 Y 0.8317 0.2493 0.3366
Y3 Y 0.5000 0.2535 0.0000
Y4 Y 0.5000 0.7465 0.0000
Y5 Y 0.1683 0.7507 0.6634
Y6 Y 0.1683 0.2493 0.6634
Mg1 Mg 0.0000 0.0000 0.0000
Cd1 Cd 0.6657 0.5000 0.6686
Cd2 Cd 0.3400 0.0000 0.3200
Cd3 Cd 0.0000 0.5000 0.0000
Cd4 Cd 0.6600 0.0000 0.6800
Cd5 Cd 0.3343 0.5000 0.3314
# Space-group type: Cmmm
# Energy relative to the elements in eV per formula unit: -3.8